Entry 1:
Density functional theory data (PBE) for a relaxed Ho2AgSn3 crystal.

Calculated values
DFT total energy	-4.244	eV/atom
symmetry	Cmcm
energy of formation	-241.5	meV per atom

Cell: 8.057 8.057 5.626 Å, 90.00 90.00 65.17°
Element x y z (fractional)
Ho1 0.046 0.677 0.750
Ho2 0.323 0.954 0.750
Ho3 0.677 0.046 0.250
Ho4 0.954 0.323 0.250
Ag1 0.439 0.561 0.250
Ag2 0.561 0.439 0.750
Sn1 0.105 0.895 0.250
Sn2 0.312 0.312 0.000
Sn3 0.312 0.312 0.500
Sn4 0.688 0.688 0.000
Sn5 0.688 0.688 0.500
Sn6 0.895 0.105 0.750


Entry 2:
Density functional theory data (PBE) for a relaxed HfMg2CdSb crystal.

Calculated values
DFT total energy	-2.985	eV/atom
energy relative to the elements, uncorrected	651	meV/atom
symmetry	P4/mmm

Cell: 5.881 5.881 5.389 Å, 90.00 90.00 90.00°
Element x y z (fractional)
Hf1 0.000 0.000 0.000
Mg1 0.000 0.500 0.000
Mg2 0.500 0.000 0.000
Cd1 0.500 0.500 0.500
Sb1 0.000 0.000 0.500


Entry 3:
Density functional theory data (PBE) for a relaxed CuIrBr4 crystal.

Calculated values
DFT total energy	-1.679	eV/atom
energy relative to the elements, uncorrected	1596	meV/atom
symmetry	F-43m

Cell: 6.057 6.057 6.057 Å, 60.00 60.00 60.00°
Element x y z (fractional)
Cu1 0.000 0.000 0.000
Ir1 0.750 0.750 0.750
Br1 0.376 0.376 0.376
Br2 0.376 0.376 0.872
Br3 0.376 0.872 0.376
Br4 0.872 0.376 0.376


Entry 4:
Density functional theory data (PBE) for a relaxed CsLiLa2Rh crystal.

Calculated values
DFT total energy	-3.074	eV/atom
symmetry	P4/mmm
energy of formation	920.6	meV per atom

Cell: 5.569 5.569 4.923 Å, 90.00 90.00 90.00°
Element x y z (fractional)
Cs1 0.000 0.000 0.000
Li1 0.000 0.000 0.500
La1 0.000 0.500 0.500
La2 0.500 0.000 0.500
Rh1 0.500 0.500 0.000


Entry 5:
Density functional theory data (PBE) for a relaxed Zr2Pt2S crystal.

Calculated values
DFT total energy	-7.425	eV/atom
energy relative to the elements, uncorrected	-764	meV/atom
symmetry	P4/mbm

Cell: 7.526 7.526 3.409 Å, 90.00 90.00 90.00°
Element x y z (fractional)
Zr1 0.167 0.333 0.000
Zr2 0.333 0.833 0.000
Zr3 0.667 0.167 0.000
Zr4 0.833 0.667 0.000
Pt1 0.131 0.631 0.500
Pt2 0.369 0.131 0.500
Pt3 0.631 0.869 0.500
Pt4 0.869 0.369 0.500
S1 0.000 0.000 0.500
S2 0.500 0.500 0.500


Entry 6:
Density functional theory data (PBE) for a relaxed K6NbI12 crystal.

Calculated values
DFT total energy	-2.835	eV/atom
energy relative to the elements, uncorrected	-979	meV/atom
symmetry	R-3

Cell: 10.092 10.092 10.092 Å, 90.00 90.00 90.00°
Element x y z (fractional)
K1 0.159 0.332 0.837
K2 0.163 0.841 0.668
K3 0.332 0.837 0.159
K4 0.668 0.163 0.841
K5 0.837 0.159 0.332
K6 0.841 0.668 0.163
Nb1 0.500 0.500 0.500
I1 0.048 0.880 0.346
I2 0.120 0.654 0.952
I3 0.224 0.495 0.503
I4 0.346 0.048 0.880
I5 0.495 0.503 0.224
I6 0.497 0.776 0.505
I7 0.503 0.224 0.495
I8 0.505 0.497 0.776
I9 0.654 0.952 0.120
I10 0.776 0.505 0.497
I11 0.880 0.346 0.048
I12 0.952 0.120 0.654


Entry 7:
Density functional theory data (PBE) for a relaxed CsSb2PtI crystal.

Calculated values
DFT total energy	-3.462	eV/atom
energy relative to the elements, uncorrected	-125	meV/atom
symmetry	P4/mmm

Cell: 5.320 5.320 6.353 Å, 90.00 90.00 90.00°
Element x y z (fractional)
Cs1 0.000 0.000 0.000
Sb1 0.000 0.500 0.500
Sb2 0.500 0.000 0.500
Pt1 0.500 0.500 0.500
I1 0.500 0.500 0.000


Entry 8:
Density functional theory data (PBE) for a relaxed NbGa2TeP crystal.

Calculated values
DFT total energy	-4.604	eV/atom
energy relative to the elements, uncorrected	331	meV/atom
symmetry	P4/mmm

Cell: 4.828 4.828 4.860 Å, 90.00 90.00 90.00°
Element x y z (fractional)
Nb1 0.000 0.000 0.000
Ga1 0.000 0.500 0.500
Ga2 0.500 0.000 0.500
Te1 0.500 0.500 0.000
P1 0.000 0.000 0.500


Entry 9:
Density functional theory data (PBE) for a relaxed BaTc2Pb crystal.

Calculated values
DFT total energy	-5.794	eV/atom
symmetry	I-42d
energy of formation	796.8	meV per atom

Cell: 10.425 10.425 10.425 Å, 153.00 153.00 38.55°
Element x y z (fractional)
Ba1 0.000 0.000 0.000
Ba2 0.750 0.250 0.500
Tc1 0.330 0.625 0.205
Tc2 0.375 0.580 0.705
Tc3 0.420 0.125 0.795
Tc4 0.875 0.670 0.295
Pb1 0.250 0.750 0.500
Pb2 0.500 0.500 0.000


Entry 10:
Density functional theory data (PBE) for a relaxed BeFeP2 crystal.

Calculated values
DFT total energy	-5.937	eV/atom
symmetry	Amm2
energy of formation	-184.4	meV per atom

Cell: 4.141 4.030 4.030 Å, 46.87 90.00 90.00°
Element x y z (fractional)
Be1 0.000 0.000 0.000
Fe1 0.500 0.155 0.155
P1 0.000 0.295 0.295
P2 0.500 0.856 0.856


Entry 11:
Density functional theory data (PBE) for a relaxed CrInGa2Se6 crystal.

Calculated values
DFT total energy	-4.414	eV/atom
energy relative to the elements, uncorrected	-482	meV/atom
symmetry	C2/c

Cell: 8.608 8.608 6.757 Å, 98.84 98.84 85.11°
Element x y z (fractional)
Cr1 0.089 0.911 0.750
Cr2 0.911 0.089 0.250
In1 0.265 0.735 0.250
In2 0.735 0.265 0.750
Ga1 0.216 0.406 0.705
Ga2 0.406 0.216 0.205
Ga3 0.594 0.784 0.795
Ga4 0.784 0.594 0.295
Se1 0.029 0.185 0.615
Se2 0.097 0.644 0.880
Se3 0.185 0.029 0.115
Se4 0.288 0.448 0.388
Se5 0.356 0.903 0.620
Se6 0.448 0.288 0.888
Se7 0.552 0.712 0.112
Se8 0.644 0.097 0.380
Se9 0.712 0.552 0.612
Se10 0.815 0.971 0.885
Se11 0.903 0.356 0.120
Se12 0.971 0.815 0.385


Entry 12:
Density functional theory data (PBE) for a relaxed Tb2PdN crystal.

Calculated values
DFT total energy	-6.372	eV/atom
energy relative to the elements, uncorrected	-677	meV/atom
symmetry	P4/mmm

Cell: 3.202 3.202 6.800 Å, 90.00 90.00 90.00°
Element x y z (fractional)
Tb1 0.000 0.000 0.212
Tb2 0.000 0.000 0.788
Pd1 0.500 0.500 0.500
N1 0.500 0.500 0.000